Arrangement A

# NdHo2Er9

A geometry-optimized NdHo2Er9 structure (PBE, the Alexandria database).

Lattice parameters (Å, degrees): 11.1308 11.1308 3.4908 90.00 90.00 120.00
With the nearest neighbours (Å) after each atom.
Space group P6/mmm (No. 191)
Symmetry-distinct sites (fractional):
Nd 0.0000 0.0000 0.0000  2 Nd 3.49, 12 Er 3.86
Ho 0.3333 0.6667 0.0000  9 Er 3.21-3.46, 2 Ho 3.49
Er 0.0000 0.5000 0.0000  2 Ho 3.21, 10 Er 3.49-3.56
Er 0.1784 0.3569 0.5000  8 Er 3.44-3.56, 2 Ho 3.46

Arrangement B

# NdHo2Er9

A geometry-optimized NdHo2Er9 structure (PBE, the Alexandria database).

Lattice parameters (Å, degrees): 4.9829 4.9829 14.9488 90.00 90.00 90.00
With the nearest neighbours (Å) after each atom.
Space group P4/mmm (No. 123)
Symmetry-distinct sites (fractional):
Nd 0.0000 0.0000 0.0000  12 Er 3.52-3.55
Ho 0.0000 0.0000 0.3343  12 Er 3.51-3.52
Er 0.0000 0.5000 0.1690  2 Ho 3.51, 8 Er 3.52-3.55, 2 Nd 3.55
Er 0.0000 0.5000 0.5000  8 Er 3.51-3.52, 4 Ho 3.51
Er 0.5000 0.5000 0.0000  4 Nd 3.52, 8 Er 3.55
Er 0.5000 0.5000 0.3349  8 Er 3.51-3.52, 4 Ho 3.52

Most stable to least stable, the ends of the list are arrangement B and arrangement A.

Arrangement A

# Nd2HoEr2

A geometry-optimized Nd2HoEr2 structure (PBE, the Alexandria database).

Lattice parameters (Å, degrees): 6.2196 3.5964 14.6412 90.00 98.23 90.00
With the nearest neighbours (Å) after each atom.
Space group C2/m (No. 12)
Symmetry-distinct sites (fractional):
Nd 0.1320 0.0000 0.3935  3 Er 3.56, 9 Nd 3.59-3.73
Ho 0.0000 0.0000 0.0000  6 Er 3.49, 6 Ho 3.59-3.60
Er 0.1014 0.5000 0.8062  3 Ho 3.49, 3 Nd 3.56, 6 Er 3.59-3.60

Arrangement B

# Nd2HoEr2

A geometry-optimized Nd2HoEr2 structure (PBE, the Alexandria database).

Lattice parameters (Å, degrees): 9.2521 13.3059 6.0682 90.00 111.96 90.00
With the nearest neighbours (Å) after each atom.
Space group C2/c (No. 15)
Symmetry-distinct sites (fractional):
Nd 0.1844 0.0771 0.3695  1 Nd 3.17, 2 Ho 3.27-3.50, 2 Er 3.35-3.43
Ho 0.0000 0.4374 0.7500  4 Nd 3.27-3.50, 4 Er 3.42-3.54, 2 Ho 3.46
Er 0.0000 0.1716 0.7500  2 Er 3.52, 1 Ho 3.54, 6 Nd 3.57-3.72
Er 0.0000 0.3056 0.2500  4 Nd 3.35-3.43, 3 Ho 3.42-3.51, 2 Er 3.52

Most stable to least stable, the ends of the list are arrangement A and arrangement B.